Compound: Hf2CuS
Source: Alexandria
Functional: PBE-GGA
Structure: optimized geometry

Output
DOS at the Fermi energy: 2.97 states/eV per cell
raw formation energy: -64.02 kJ/mol of atoms
space-group type: R3m (160)
M_tot: 0.0 μB/f.u.

```
Hf2CuS
1.0
1.674 0.966 7.349
-1.674 0.966 7.349
0.000 -1.932 7.349
Hf Cu S
2 1 1
direct
0.000 0.000 0.000
0.159 0.159 0.159
0.581 0.581 0.581
0.413 0.413 0.413
```